First-principles (GGA-PBE) data for a relaxed KBa2Se crystal, as listed in the Alexandria database.

Properties
- Formation energy from raw total energies: -3.13 eV per formula unit
- SG: Cm

Structure (POSCAR):
```
KBa2Se
1.0
8.099 0.003 0.043
6.919 4.210 0.043
4.273 1.199 6.680
Ba K Se
2 1 1
Direct
0.742 0.742 0.826
0.908 0.908 0.132
0.576 0.576 0.463
0.273 0.273 0.080
```

First-principles (GGA-PBE) data for a relaxed CdGa2Ag crystal, as listed in the Alexandria database.

Properties
- ΔH_f (0 K): 34.8 meV/atom
- SG: P2_1/m

Structure (POSCAR):
```
CdGa2Ag
1.0
-1.212 1.545 3.778
4.643 -2.931 -0.384
4.068 6.628 -1.405
Ga Cd Ag
4 2 2
Direct
0.618 0.272 0.456
0.382 0.728 0.544
0.618 0.272 0.044
0.382 0.728 0.956
0.042 0.158 0.750
0.958 0.842 0.250
0.206 0.418 0.250
0.794 0.582 0.750
```

First-principles (GGA-PBE) data for a relaxed GaSeS crystal, as listed in the Alexandria database.

Properties
- Relative energy among the computed polymorphs: 0.19 eV/f.u.
- Formation energy from raw total energies: -1.16 eV per formula unit
- SG: C2/m

Structure (POSCAR):
```
GaSeS
1.0
3.628 0.000 0.000
0.000 7.064 2.727
-1.814 0.674 6.831
Ga Se S
2 2 2
Direct
0.201 0.686 0.402
0.799 0.314 0.598
0.402 0.058 0.804
0.598 0.942 0.196
0.163 0.417 0.325
0.837 0.583 0.675
```

First-principles (GGA-PBE) data for a relaxed MnFePRu crystal, as listed in the Alexandria database.

Properties
- ΔH_f (0 K): -185.7 meV/atom
- SG: F-43m

Structure (POSCAR):
```
MnFePRu
1.0
-2.160 2.743 2.084
-1.118 -0.777 3.831
1.720 2.034 3.072
Fe Ru P Mn
1 1 1 1
Direct
0.250 0.250 0.250
0.750 0.750 0.750
0.500 0.500 0.500
0.000 0.000 0.000
```

First-principles (GGA-PBE) data for a relaxed Mg4In7Hg crystal, as listed in the Alexandria database.

Properties
- Relative energy among the computed polymorphs: 0.00 eV/f.u.
- ΔH_f (0 K): -51.2 meV/atom
- SG: P-1

Structure (POSCAR):
```
Mg4In7Hg
1.0
-2.122 -3.853 1.537
3.092 -0.864 -4.650
11.387 -5.006 3.636
In Mg Hg
7 4 1
Direct
0.324 0.648 0.414
0.676 0.352 0.586
0.015 0.029 0.748
0.316 0.631 0.163
0.985 0.971 0.252
0.000 0.000 0.000
0.684 0.369 0.837
0.649 0.300 0.342
0.351 0.700 0.658
0.341 0.686 0.913
0.659 0.314 0.087
0.000 0.000 0.500
```

First-principles (GGA-PBE) data for a relaxed Sc3Tc crystal, as listed in the Alexandria database.

Properties
- ΔH_f (0 K): -20.9 meV/atom
- SG: P6_3/mmc

Structure (POSCAR):
```
Sc3Tc
1.0
-2.481 -5.083 -2.452
4.840 2.685 -2.714
6.023 -5.498 5.304
Sc Tc
12 4
Direct
0.162 0.324 0.750
0.162 0.838 0.750
0.500 0.000 0.500
0.000 0.500 0.500
0.500 0.500 0.500
0.324 0.162 0.250
0.676 0.838 0.750
0.000 0.500 0.000
0.838 0.676 0.250
0.838 0.162 0.250
0.500 0.000 0.000
0.500 0.500 0.000
0.333 0.667 0.250
0.000 0.000 0.000
0.000 0.000 0.500
0.667 0.333 0.750
```

First-principles (GGA-PBE) data for a relaxed BiTeIO2 crystal, as listed in the Alexandria database.

Properties
- Relative energy among the computed polymorphs: 0.00 eV/f.u.
- Formation energy from raw total energies: -0.45 eV per formula unit
- SG: P4/mmm

Structure (POSCAR):
```
BiTeIO2
1.0
-2.002 1.832 -3.353
1.809 -2.880 -2.653
-5.954 -4.665 1.005
Te Bi O I
1 1 2 1
Direct
0.500 0.500 0.500
0.000 0.000 0.000
0.000 0.500 0.000
0.500 0.000 0.000
0.000 0.000 0.500
```

First-principles (GGA-PBE) data for a relaxed Zr2SnSe crystal, as listed in the Alexandria database.

Properties
- Relative energy among the computed polymorphs: 0.00 eV/f.u.
- Formation energy from raw total energies: -2.86 eV per formula unit
- SG: R-3m

Structure (POSCAR):
```
Zr2SnSe
1.0
-1.688 -1.798 -3.102
-0.582 -3.919 0.057
-6.777 -0.972 1.721
Zr Sn Se
2 1 1
Direct
0.261 0.261 0.216
0.739 0.739 0.784
0.500 0.500 0.500
0.000 0.000 0.000
```